# Na3Hg4, relaxed, DFT GGA-PBE
data_Na3Hg4
_cell_length_a 3.7114
_cell_length_b 4.1805
_cell_length_c 12.0083
_cell_angle_alpha 100.02
_cell_angle_beta 98.89
_cell_angle_gamma 90.00
_symmetry_space_group_name_H-M 'P 1'
_symmetry_Int_Tables_number 1
loop_
_symmetry_equiv_pos_as_xyz
'x,y,z'
loop_
_atom_site_label
_atom_site_type_symbol
_atom_site_fract_x
_atom_site_fract_y
_atom_site_fract_z
Na1 Na 0.8537 0.3537 0.7074
Na2 Na 0.0000 0.5000 0.0000
Na3 Na 0.1463 0.6463 0.2926
Hg1 Hg 0.7130 0.2130 0.4260
Hg2 Hg 0.2870 0.7870 0.5740
Hg3 Hg 0.4280 0.9280 0.8559
Hg4 Hg 0.5720 0.0720 0.1441
# * E_form: -226 meV per atom